Crystalline LaSnTe2N at its relaxed geometry. Source: Alexandria via LeMat-Bulk, functional GGA-PBE.

Cell and atoms, written as POSCAR:
```
LaSnTe2N
1.0
5.816 0.000 0.000
0.000 5.816 0.000
0.000 0.000 4.080
La Sn Te N
1 1 2 1
Cartesian
0.000 0.000 0.000 La
2.908 2.908 2.040 Sn
0.000 2.908 2.040 Te
2.908 0.000 2.040 Te
2.908 2.908 0.000 N
```

Properties
For the formation energy (no corrections), the calculation gives -0.09 eV per atom. Its calculated volume is 137.99 Å³ per cell. Its energy above the lowest structure with this stoichiometry is 0 meV/atom. The total magnetization is 0.22 Bohr magnetons per cell. The value obtained for the density of states at the Fermi level is 2.61 states/eV per cell.